Record 1
# La5Rh2Au5

La5Rh2Au5 after structural relaxation (PBE, Alexandria via LeMat-Bulk).

Calculated values
Fermi-level density of states: 0.679 states/eV per atom
E_form: -9.406 eV per formula unit

Unit cell a=8.871 b=8.871 c=11.965 alpha=131.96 beta=131.96 gamma=26.76
Element x y z (fractional)
La 0.000 0.000 0.000
La 0.110 0.110 0.407
La 0.189 0.189 0.807
La 0.811 0.811 0.193
La 0.890 0.890 0.593
Rh 0.380 0.380 0.752
Rh 0.620 0.620 0.248
Au 0.257 0.257 0.320
Au 0.415 0.415 0.132
Au 0.500 0.500 0.500
Au 0.585 0.585 0.868
Au 0.743 0.743 0.680

=====

Record 2
# Pr8Os3Br4F

Pr8Os3Br4F after structural relaxation (PBE, Alexandria via LeMat-Bulk).

Calculated values
Fermi-level density of states: 0.428 states/eV per atom

Unit cell a=8.269 b=8.269 c=9.208 alpha=116.63 beta=116.63 gamma=60.03
Element x y z (fractional)
Pr 0.222 0.737 0.696
Pr 0.233 0.233 0.700
Pr 0.263 0.778 0.304
Pr 0.264 0.264 0.304
Pr 0.736 0.736 0.696
Pr 0.737 0.222 0.696
Pr 0.767 0.767 0.300
Pr 0.778 0.263 0.304
Os 0.000 0.000 0.500
Os 0.000 0.500 0.500
Os 0.500 0.000 0.500
Br 0.000 0.000 0.000
Br 0.000 0.500 0.000
Br 0.500 0.000 0.000
Br 0.500 0.500 0.000
F 0.500 0.500 0.500

=====

Record 3
# Cs2BeCI6

Cs2BeCI6 after structural relaxation (PBE, Alexandria via LeMat-Bulk).

Calculated values
Fermi-level density of states: 0.083 states/eV per atom

Unit cell a=8.019 b=8.019 c=8.019 alpha=122.42 beta=122.42 gamma=85.86
Element x y z (fractional)
Cs 0.250 0.750 0.500
Cs 0.750 0.250 0.500
Be 0.000 0.000 0.000
C 0.500 0.500 0.000
I 0.243 0.243 0.486
I 0.243 0.757 0.000
I 0.271 0.271 0.000
I 0.729 0.729 0.000
I 0.757 0.243 0.000
I 0.757 0.757 0.514

=====

Record 4
# Ho2Co12B7

Ho2Co12B7 after structural relaxation (PBE, Alexandria via LeMat-Bulk).

Calculated values
Fermi-level density of states: 1.019 states/eV per atom
E_form: -7.210 eV per formula unit

Unit cell a=8.444 b=8.444 c=3.388 alpha=90.00 beta=90.00 gamma=120.00
Element x y z (fractional)
Ho 0.000 0.000 0.000
Ho 0.333 0.667 0.500
Co 0.054 0.766 0.500
Co 0.092 0.389 0.000
Co 0.234 0.288 0.500
Co 0.297 0.908 0.000
Co 0.397 0.218 0.000
Co 0.549 0.121 0.500
Co 0.573 0.451 0.500
Co 0.611 0.703 0.000
Co 0.712 0.946 0.500
Co 0.782 0.179 0.000
Co 0.821 0.603 0.000
Co 0.879 0.427 0.500
B 0.071 0.632 0.000
B 0.278 0.047 0.500
B 0.368 0.439 0.000
B 0.561 0.929 0.000
B 0.667 0.333 0.000
B 0.770 0.722 0.500
B 0.953 0.230 0.500

=====

Computed values of total DFT energy (no corrections) (unit: eV per cell) for the preceding records, in sequence: -65.1; -95.7; -25.1; -148.4.